AcPmZnP: optimized geometry, PBE-GGA.

Geometry as extended XYZ:
```
4
Lattice="0.0000 3.7115 3.7115 3.7115 0.0000 3.7115 3.7115 3.7115 0.0000" Properties=species:S:1:pos:R:3 pbc="T T T"
Ac 0.0000 0.0000 0.0000
Pm 3.7115 3.7115 3.7115
Zn 1.8558 1.8558 1.8558
P 5.5673 5.5673 5.5673
```

Results
Space-group type: F-43m, No. 216
Density of states at the Fermi level: 4.813 states/eV/f.u.
Energy relative to the elements: -0.524 eV per atom


AcPr4P5: optimized geometry, PBE-GGA.

Geometry as extended XYZ:
```
10
Lattice="7.0521 -2.1284 0.0000 7.0521 2.1284 0.0000 -5.1385 0.0000 9.0770" Properties=species:S:1:pos:R:3 pbc="T T T"
Ac 0.0000 0.0000 0.0000
Pr -1.2723 0.0000 7.2286
Pr 2.5760 0.0000 5.4349
Pr 6.3898 0.0000 3.6421
Pr 10.2381 0.0000 1.8484
P -2.5692 0.0000 4.5385
P 1.2829 0.0000 2.7809
P 5.0469 0.0000 0.9449
P 3.9189 0.0000 8.1321
P 7.6829 0.0000 6.2961
```

Results
Space-group type: C2/m, No. 12
Density of states at the Fermi level: 0.998 states/eV/f.u.
Energy relative to the elements: -1.493 eV per atom


AcPrP: optimized geometry, PBE-GGA.

Geometry as extended XYZ:
```
3
Lattice="-1.8748 1.8748 6.7454 1.8748 -1.8748 6.7454 1.8748 1.8748 -6.7454" Properties=species:S:1:pos:R:3 pbc="T T T"
Ac 0.0000 0.0000 0.0000
Pr 0.0000 0.0000 10.1380
P 0.0000 0.0000 4.9325
```

Results
Space-group type: I4mm, No. 107
Energy relative to the lowest polymorph listed for this composition: 0.186 eV/atom
Density of states at the Fermi level: 2.790 states/eV/f.u.
Energy relative to the elements: -0.695 eV per atom


Ac3PrP4: optimized geometry, PBE-GGA.

Geometry as extended XYZ:
```
8
Lattice="6.2139 0.0000 0.0000 0.0000 6.2139 0.0000 0.0000 0.0000 6.2139" Properties=species:S:1:pos:R:3 pbc="T T T"
Ac 0.0000 0.0000 3.1070
Ac 0.0000 3.1070 0.0000
Ac 3.1070 0.0000 0.0000
Pr 3.1070 3.1070 3.1070
P 0.0000 0.0000 0.0000
P 0.0000 3.1070 3.1070
P 3.1070 0.0000 3.1070
P 3.1070 3.1070 0.0000
```

Results
Space-group type: Pm-3m, No. 221
Energy relative to the lowest polymorph listed for this composition: 0.009 eV/atom
Density of states at the Fermi level: 2.309 states/eV/f.u.
Energy relative to the elements: -1.455 eV per atom


AcPrP: optimized geometry, PBE-GGA.

Geometry as extended XYZ:
```
3
Lattice="4.1740 0.0000 0.0000 -2.0870 3.6148 0.0000 0.0000 0.0000 7.0703" Properties=species:S:1:pos:R:3 pbc="T T T"
Ac 0.0000 0.0000 0.0000
Pr 2.0870 1.2049 3.4039
P 0.0000 2.4098 1.8348
```

Results
Space-group type: P3m1, No. 156
Energy relative to the lowest polymorph listed for this composition: 0.000 eV/atom
Density of states at the Fermi level: 3.442 states/eV/f.u.
Energy relative to the elements: -0.882 eV per atom


Ac3PrP4: optimized geometry, PBE-GGA.

Geometry as extended XYZ:
```
8
Lattice="4.3931 -6.2059 0.0000 4.3931 6.2059 0.0000 0.0000 0.0000 4.3917" Properties=species:S:1:pos:R:3 pbc="T T T"
Ac 0.0000 0.0000 0.0000
Ac 2.1966 3.1030 2.1959
Ac 2.1966 -3.1030 2.1959
Pr 4.3931 0.0000 0.0000
P 4.3931 3.0513 0.0000
P 2.2638 0.0000 2.1959
P 6.5224 0.0000 2.1959
P 4.3931 -3.0513 0.0000
```

Results
Space-group type: Cmmm, No. 65
Energy relative to the lowest polymorph listed for this composition: 0.000 eV/atom
Density of states at the Fermi level: 0.539 states/eV/f.u.
Energy relative to the elements: -1.464 eV per atom


Ac2PrP: optimized geometry, PBE-GGA.

Geometry as extended XYZ:
```
4
Lattice="2.0244 1.1688 11.1502 -2.0244 1.1688 11.1502 0.0000 -2.3376 11.1502" Properties=species:S:1:pos:R:3 pbc="T T T"
Ac 0.0000 0.0000 3.7403
Ac 0.0000 0.0000 29.7102
Pr 0.0000 0.0000 0.0000
P 0.0000 0.0000 16.7252
```

Results
Space-group type: R-3m, No. 166
Density of states at the Fermi level: 5.241 states/eV/f.u.
Energy relative to the elements: -0.413 eV per atom


Ac3PrP: optimized geometry, PBE-GGA.

Geometry as extended XYZ:
```
5
Lattice="5.9440 0.0000 0.0000 0.0000 5.9440 0.0000 0.0000 0.0000 5.9440" Properties=species:S:1:pos:R:3 pbc="T T T"
Ac 0.0000 0.0000 2.9720
Ac 0.0000 2.9720 0.0000
Ac 2.9720 0.0000 0.0000
Pr 2.9720 2.9720 2.9720
P 0.0000 0.0000 0.0000
```

Results
Space-group type: Pm-3m, No. 221
Density of states at the Fermi level: 8.413 states/eV/f.u.
Energy relative to the elements: -0.376 eV per atom